Entry 1:
A plane-wave DFT calculation with PBE-GGA was carried out for crystalline DyNp2Tl3Te6 at its relaxed geometry.

abc: 7.7558 7.7558 8.5873
angles: 98.66 98.66 119.98
Element x y z (fractional)
Dy  0.0000  0.0000  0.0000
Np  0.3335  0.6665  0.0000
Np  0.6665  0.3335  0.0000
Tl  0.1673  0.8327  0.5000
Tl  0.5000  0.5000  0.5000
Tl  0.8327  0.1673  0.5000
Te  0.0713  0.4022  0.2140
Te  0.2594  0.2594  0.7853
Te  0.4022  0.0713  0.2140
Te  0.5978  0.9287  0.7860
Te  0.7406  0.7406  0.2147
Te  0.9287  0.5978  0.7860

Results
Symmetry: C2/m (12)
Formation energy from raw total energies, meV per atom: -718.8
Energy, eV/atom: -5.42


Entry 2:
A plane-wave DFT calculation with PBE-GGA was carried out for crystalline DyTmNp at its relaxed geometry.

abc: 8.5407 8.5407 5.7610
angles: 100.51 100.51 23.82
Element x y z (fractional)
Dy  0.1202  0.1202  0.3201
Dy  0.8798  0.8798  0.6799
Tm  0.4332  0.4332  0.2073
Tm  0.5668  0.5668  0.7927
Np  0.2385  0.2385  0.8577
Np  0.7615  0.7615  0.1423

Results
Formation enthalpy at 0 K, meV per atom: 224
Symmetry: C2/m (12)
Energy, eV/atom: -7.11


The highest energy belongs to which entry? DyNp2Tl3Te6


energy of number 2 (DyTmNp)? -7.11 eV/atom


What did the second record say?
A plane-wave DFT calculation with PBE-GGA was carried out for crystalline DyTmNp at its relaxed geometry.

abc: 8.5407 8.5407 5.7610
angles: 100.51 100.51 23.82
Element x y z (fractional)
Dy  0.1202  0.1202  0.3201
Dy  0.8798  0.8798  0.6799
Tm  0.4332  0.4332  0.2073
Tm  0.5668  0.5668  0.7927
Np  0.2385  0.2385  0.8577
Np  0.7615  0.7615  0.1423

Results
Formation enthalpy at 0 K, meV per atom: 224
Symmetry: C2/m (12)
Energy, eV/atom: -7.11